No. 1
# LiPmSmEr

A geometry-optimized LiPmSmEr structure (PBE, Alexandria).

Unit cell a=7.833 b=7.833 c=7.833 alpha=90.00 beta=90.00 gamma=90.00
Element x y z (fractional)
Li1 0.000 0.000 0.000
Li2 0.000 0.500 0.500
Li3 0.500 0.000 0.500
Li4 0.500 0.500 0.000
Pm1 0.250 0.250 0.750
Pm2 0.250 0.750 0.250
Pm3 0.750 0.250 0.250
Pm4 0.750 0.750 0.750
Sm1 0.250 0.250 0.250
Sm2 0.250 0.750 0.750
Sm3 0.750 0.250 0.750
Sm4 0.750 0.750 0.250
Er1 0.000 0.000 0.500
Er2 0.000 0.500 0.000
Er3 0.500 0.000 0.000
Er4 0.500 0.500 0.500

magnetization	0.0	μB per formula unit
uncorrected energy	-3.8281	eV/atom
energy relative to the elements	0.6	eV/f.u.
density of states at the Fermi level	4.4	states/eV/f.u.



No. 2
# Li2PmEr2Sn2

A geometry-optimized Li2PmEr2Sn2 structure (PBE, Alexandria).

Unit cell a=9.273 b=9.273 c=9.273 alpha=30.00 beta=30.00 gamma=30.00
Element x y z (fractional)
Li1 0.091 0.091 0.091
Li2 0.909 0.909 0.909
Pm1 0.500 0.500 0.500
Er1 0.370 0.370 0.370
Er2 0.630 0.630 0.630
Sn1 0.240 0.240 0.240
Sn2 0.760 0.760 0.760

magnetization	0.0	μB per formula unit
uncorrected energy	-4.1292	eV/atom
energy relative to the elements	-3.2	eV/f.u.
density of states at the Fermi level	4.1	states/eV/f.u.



No. 3
# Li2Pm3ErTe6

A geometry-optimized Li2Pm3ErTe6 structure (PBE, Alexandria).

Unit cell a=9.810 b=9.810 c=8.790 alpha=103.05 beta=103.05 gamma=25.79
Element x y z (fractional)
Li1 0.176 0.176 0.352
Li2 0.824 0.824 0.648
Pm1 0.166 0.166 0.834
Pm2 0.500 0.500 0.500
Pm3 0.834 0.834 0.166
Er1 0.500 0.500 0.000
Te1 0.006 0.006 0.245
Te2 0.331 0.331 0.423
Te3 0.336 0.336 0.904
Te4 0.664 0.664 0.096
Te5 0.669 0.669 0.577
Te6 0.994 0.994 0.755

magnetization	0.0	μB per formula unit
uncorrected energy	-4.7874	eV/atom
density of states at the Fermi level	4.1	states/eV/f.u.
E_form (uncorrected)	-1329.7	meV/atom



No. 4
# Li2PmErTe4

A geometry-optimized Li2PmErTe4 structure (PBE, Alexandria).

Unit cell a=7.502 b=4.378 c=7.579 alpha=90.00 beta=109.61 gamma=90.00
Element x y z (fractional)
Li1 0.000 0.000 0.000
Li2 0.000 0.500 0.500
Pm1 0.500 0.000 0.500
Er1 0.500 0.500 0.000
Te1 0.241 0.500 0.240
Te2 0.245 0.000 0.756
Te3 0.755 0.000 0.244
Te4 0.759 0.500 0.760

magnetization	0.0	μB per formula unit
uncorrected energy	-4.5008	eV/atom
E_form (uncorrected)	-1287.4	meV/atom



No. 5
# LiPm3Er3Te8

A geometry-optimized LiPm3Er3Te8 structure (PBE, Alexandria).

Unit cell a=8.772 b=8.772 c=8.772 alpha=59.68 beta=59.68 gamma=59.68
Element x y z (fractional)
Li1 0.000 0.000 0.000
Pm1 0.000 0.000 0.500
Pm2 0.000 0.500 0.000
Pm3 0.500 0.000 0.000
Er1 0.000 0.500 0.500
Er2 0.500 0.000 0.500
Er3 0.500 0.500 0.000
Te1 0.248 0.248 0.744
Te2 0.248 0.744 0.248
Te3 0.254 0.254 0.254
Te4 0.256 0.752 0.752
Te5 0.744 0.248 0.248
Te6 0.746 0.746 0.746
Te7 0.752 0.256 0.752
Te8 0.752 0.752 0.256

magnetization	0.0	μB per formula unit
uncorrected energy	-5.0065	eV/atom
density of states at the Fermi level	4.6	states/eV/f.u.
E_form (uncorrected)	-1340.6	meV/atom



No. 6
# Li3PmEr2Te6

A geometry-optimized Li3PmEr2Te6 structure (PBE, Alexandria).

Unit cell a=7.545 b=7.545 c=7.497 alpha=99.67 beta=99.67 gamma=120.00
Element x y z (fractional)
Li1 0.000 0.000 0.000
Li2 0.334 0.666 0.000
Li3 0.666 0.334 0.000
Pm1 0.500 0.500 0.500
Er1 0.167 0.833 0.500
Er2 0.833 0.167 0.500
Te1 0.074 0.415 0.244
Te2 0.244 0.244 0.756
Te3 0.415 0.074 0.244
Te4 0.585 0.926 0.756
Te5 0.756 0.756 0.244
Te6 0.926 0.585 0.756

magnetization	0.0	μB per formula unit
uncorrected energy	-4.4913	eV/atom
E_form (uncorrected)	-1285.7	meV/atom



No. 7
# LiPmErTe3

A geometry-optimized LiPmErTe3 structure (PBE, Alexandria).

Unit cell a=8.915 b=4.258 c=9.497 alpha=90.00 beta=103.71 gamma=90.00
Element x y z (fractional)
Li1 0.085 0.250 0.085
Li2 0.915 0.750 0.915
Pm1 0.189 0.250 0.734
Pm2 0.811 0.750 0.266
Er1 0.330 0.750 0.338
Er2 0.670 0.250 0.662
Te1 0.092 0.250 0.375
Te2 0.236 0.750 0.001
Te3 0.431 0.750 0.672
Te4 0.569 0.250 0.328
Te5 0.764 0.250 0.999
Te6 0.908 0.750 0.625

magnetization	0.0	μB per formula unit
uncorrected energy	-4.7019	eV/atom
density of states at the Fermi level	2.8	states/eV/f.u.
E_form (uncorrected)	-1259.8	meV/atom



No. 8
# Li3Pm2ErTe6

A geometry-optimized Li3Pm2ErTe6 structure (PBE, Alexandria).

Unit cell a=7.613 b=7.613 c=7.518 alpha=99.73 beta=99.73 gamma=120.00
Element x y z (fractional)
Li1 0.000 0.000 0.000
Li2 0.332 0.668 0.000
Li3 0.668 0.332 0.000
Pm1 0.167 0.833 0.500
Pm2 0.833 0.167 0.500
Er1 0.500 0.500 0.500
Te1 0.088 0.414 0.241
Te2 0.261 0.261 0.758
Te3 0.414 0.088 0.241
Te4 0.586 0.912 0.759
Te5 0.739 0.739 0.242
Te6 0.912 0.586 0.759

magnetization	0.0	μB per formula unit
uncorrected energy	-4.5134	eV/atom
E_form (uncorrected)	-1292.1	meV/atom